# TaW2C | Alexandria via LeMat-Bulk | PBE | optimized geometry
# - Formation energy: 0.154 eV/atom
# - Calculated density: 16.464 Mg/m³
data_TaW2C
_chemical_formula_sum 'Ta1 W2 C1'
_cell_length_a 4.580
_cell_length_b 4.580
_cell_length_c 4.951
_cell_angle_alpha 65.00
_cell_angle_beta 65.00
_cell_angle_gamma 37.49
_symmetry_space_group_name_H-M 'P 1'
_symmetry_Int_Tables_number 1
_symmetry_space_group_name_Hall 'P 1'
loop_
_atom_site_label
_atom_site_fract_x
_atom_site_fract_y
_atom_site_fract_z
C1 0.533 0.533 0.617
W1 0.174 0.174 0.272
W2 0.988 0.988 0.969
Ta1 0.805 0.805 0.642